[1]
The following is a PBE calculation of OsRuW after structural relaxation, from Alexandria.

The energy relative to the elements comes out at 157 meV per atom. Its excess energy over the best structure of this formula in the dataset is 111 meV per atom.

The structure belongs to space group P3m1 (No. 156); the cell edges are 2.7546, 2.7546 and 6.7840 Å and the angles 90.00°, 90.00° and 120.00°. Symmetry generates all atoms from Os at (0.0000, 0.0000, 0.0000), Ru at (0.6667, 0.3333, 0.3271) and W at (0.3333, 0.6667, 0.6620).

[2]
The following is a PBE calculation of Ho5Fe2Sb after structural relaxation, from Alexandria.

As for the uncorrected formation energy: -232 kJ/mol of formula units.

The structure belongs to space group I4/mcm (No. 140); the cell edges are 7.4729, 7.4729 and 14.0649 Å and the angles 90.00°, 90.00° and 90.00°. Symmetry generates all atoms from Ho at (0.0000, 0.0000, 0.0000), Ho at (0.1663, 0.3337, 0.1364), Fe at (0.1115, 0.3885, 0.5000) and Sb at (0.0000, 0.0000, 0.2500).

| no. | spin magnetization (μB per formula unit) |
| --- | --- |
| 1 | 0.00 |
| 2 | 1.98 |